(1)
16
Lattice="8.6707 0.0000 0.0000 0.0000 8.6707 0.0000 0.0000 0.0000 5.5818" Properties=species:S:1:pos:R:3 comment="PBE-GGA TaAgCl2, optimized geometry" de_polymorph_mev_per_atom=551 raw_formation_energy_kj_per_mol_atoms=9.09 energy_ev_per_cell=-72.081 sg=I-42d pbc="T T T"
Ta 0.0000 0.0000 0.0000
Ta 0.0000 4.3353 1.3954
Ta 4.3353 0.0000 4.1863
Ta 4.3353 4.3353 2.7909
Ag 0.0000 0.0000 2.7909
Ag 0.0000 4.3353 4.1863
Ag 4.3353 0.0000 1.3954
Ag 4.3353 4.3353 0.0000
Cl 0.9259 2.1677 0.6977
Cl 2.1677 5.2612 2.0932
Cl 2.1677 7.7448 4.8841
Cl 3.4095 2.1677 3.4886
Cl 5.2612 6.5030 3.4886
Cl 6.5030 0.9259 4.8841
Cl 6.5030 3.4095 2.0932
Cl 7.7448 6.5030 0.6977

=====

(2)
4
Lattice="3.0350 0.0000 0.0000 0.0000 4.5558 0.0000 -0.1726 0.0000 6.5104" Properties=species:S:1:pos:R:3 comment="PBE-GGA TaAgCl2, optimized geometry" de_polymorph_mev_per_atom=449 raw_formation_energy_kj_per_mol_atoms=-0.77 energy_ev_per_cell=-18.429 sg=Pm pbc="T T T"
Ta 0.0000 0.0000 0.0000
Ag 1.5102 2.2779 1.7331
Cl 1.3461 0.0000 4.4909
Cl 2.8646 2.2779 5.5948

=====

(3)
5
Lattice="4.8759 0.0000 0.0000 0.0000 4.8759 0.0000 0.0000 0.0000 4.8759" Properties=species:S:1:pos:R:3 comment="PBE-GGA TaAgCl3, optimized geometry" de_polymorph_mev_per_atom=0 raw_formation_energy_kj_per_mol_atoms=-19.92 energy_ev_per_cell=-21.276 sg=Pm-3m pbc="T T T"
Ta 0.0000 0.0000 0.0000
Ag 2.4380 2.4380 2.4380
Cl 0.0000 0.0000 2.4380
Cl 0.0000 2.4380 0.0000
Cl 2.4380 0.0000 0.0000

=====

(4)
10
Lattice="8.1329 0.0000 0.0000 0.0000 8.1329 0.0000 0.0000 0.0000 3.1437" Properties=species:S:1:pos:R:3 comment="PBE-GGA TaAg2Cl2, optimized geometry" de_polymorph_mev_per_atom=0 raw_formation_energy_kj_per_mol_atoms=74.24 energy_ev_per_cell=-34.803 sg=P4/mbm pbc="T T T"
Ta 0.0000 0.0000 0.0000
Ta 4.0665 4.0665 0.0000
Ag 1.0927 2.9737 0.0000
Ag 2.9737 7.0402 0.0000
Ag 5.1592 1.0927 0.0000
Ag 7.0402 5.1592 0.0000
Cl 1.3365 5.4029 1.5718
Cl 2.7300 1.3365 1.5718
Cl 5.4029 6.7965 1.5718
Cl 6.7965 2.7300 1.5718

=====

(5)
8
Lattice="6.4848 0.0000 0.0000 -3.2394 5.6365 0.0000 -0.0112 -3.7310 5.8636" Properties=species:S:1:pos:R:3 comment="PBE-GGA TaAgCl6, optimized geometry" de_polymorph_mev_per_atom=0 raw_formation_energy_kj_per_mol_atoms=-106.11 energy_ev_per_cell=-34.582 sg=P-1 pbc="T T T"
Ta 0.0000 0.0000 0.0000
Ag 3.2368 -1.8655 2.9318
Cl -2.2773 3.9488 1.3663
Cl -1.3086 1.8908 4.4979
Cl 0.9806 1.6783 1.3588
Cl 2.2536 0.2273 4.5048
Cl 4.5428 0.0148 1.3657
Cl 5.5115 -2.0432 4.4973

=====

(6)
8
Lattice="3.4583 0.0000 0.0000 0.0000 5.0920 0.0000 0.0000 0.0000 9.2253" Properties=species:S:1:pos:R:3 comment="PBE-GGA TaAgCl2, optimized geometry" de_polymorph_mev_per_atom=349 raw_formation_energy_kj_per_mol_atoms=-10.43 energy_ev_per_cell=-37.659 sg=Cmm2 pbc="T T T"
Ta 0.0000 0.0000 0.0000
Ta 1.7292 2.5460 0.0000
Ag 0.0000 2.5460 7.0031
Ag 1.7292 0.0000 7.0031
Cl 0.0000 0.0000 5.0920
Cl 0.0000 2.5460 1.8536
Cl 1.7292 0.0000 1.8536
Cl 1.7292 2.5460 5.0920